(1)
Compound: MgCr2Cl
Source: Alexandria via LeMat-Bulk
Functional: GGA-PBE
Structure: optimized geometry

ΔE_f (raw) (eV per atom): 0.5575
Crystal system: orthorhombic

abc: 5.217 5.217 3.132
angles: 90.00 90.00 112.49
Atoms (fractional coordinates):
1 Mg 0.000 0.000 0.000
2 Cr 0.000 0.500 0.500
3 Cr 0.500 0.000 0.500
4 Cl 0.500 0.500 0.000

***

(2)
Compound: Mg2CrCl
Source: Alexandria via LeMat-Bulk
Functional: GGA-PBE
Structure: optimized geometry

ΔE_f (raw) (eV per atom): 0.0051
Crystal system: orthorhombic

abc: 5.805 5.805 5.805
angles: 147.73 126.19 64.16
Atoms (fractional coordinates):
1 Mg 0.000 0.000 0.000
2 Mg 0.713 0.213 0.500
3 Cr 0.459 0.459 0.000
4 Cl 0.248 0.748 0.500

***

(3)
Compound: MgCr3Cl
Source: Alexandria via LeMat-Bulk
Functional: GGA-PBE
Structure: optimized geometry

ΔE_f (raw) (eV per atom): 1.4682
Crystal system: cubic

abc: 5.150 5.150 5.150
angles: 90.00 90.00 90.00
Atoms (fractional coordinates):
1 Mg 0.000 0.000 0.000
2 Cr 0.000 0.000 0.500
3 Cr 0.000 0.500 0.000
4 Cr 0.500 0.000 0.000
5 Cl 0.500 0.500 0.500

***

(4)
Compound: MgCrCl2
Source: Alexandria via LeMat-Bulk
Functional: GGA-PBE
Structure: optimized geometry

ΔE_f (raw) (eV per atom): -0.6112
Crystal system: orthorhombic

abc: 3.459 3.459 9.205
angles: 90.00 90.00 118.07
Atoms (fractional coordinates):
1 Mg 0.000 0.000 0.000
2 Cr 0.500 0.500 0.737
3 Cl 0.000 0.000 0.571
4 Cl 0.500 0.500 0.171

***

Number 1: M_tot 8.9 μB/cell, Fermi-level density of states 0.87 states/eV per atom, volume 19.691 A^3/atom. Number 2: M_tot 4.3 μB/cell, Fermi-level density of states 0.44 states/eV per atom, volume 20.845 A^3/atom. Number 3: M_tot 14.1 μB/cell, Fermi-level density of states 0.51 states/eV per atom, volume 27.317 A^3/atom. Number 4: M_tot 4.0 μB/cell, Fermi-level density of states 0.13 states/eV per atom, volume 24.296 A^3/atom.